A plane-wave DFT calculation with GGA-PBE was carried out for a relaxed structure of Nd2ZnGePt6.

Unit cell a=5.6412 b=8.3556 c=8.3549 alpha=39.46 beta=70.26 gamma=89.99
Closest atoms and distances in Å follow each position.
Sites, in units of the cell vectors:
Nd 0.7957 0.2038 0.4085  9 Pt 3.04-3.31, 3 Zn 3.37
Nd 0.2043 0.7962 0.5915  9 Pt 3.04-3.31, 3 Zn 3.37
Zn 0.5000 0.5000 0.0000  6 Pt 2.56
Pt 0.7398 0.7497 0.0103  1 Ge 2.48, 1 Zn 2.56, 2 Pt 2.77
Pt 0.7504 0.7407 0.4996  1 Ge 2.48, 1 Zn 2.56, 2 Pt 2.77
Pt 0.2602 0.2503 0.9897  1 Ge 2.48, 1 Zn 2.56, 2 Pt 2.77
Pt 0.2496 0.2593 0.5004  1 Ge 2.48, 1 Zn 2.56, 2 Pt 2.77
Ge 0.0000 0.0000 0.0000  6 Pt 2.48
Pt 0.7504 0.2504 0.9897  1 Ge 2.48, 1 Zn 2.56, 2 Pt 2.77
Pt 0.2496 0.7496 0.0103  1 Ge 2.48, 1 Zn 2.56, 2 Pt 2.77

Output
Calculated density   12.5 g/cm3
N(E_F)   3.62 states/eV per cell
Formation enthalpy at 0 K   -748.4 meV per atom
Raw total energy   -0.217 Ha/atom

---

A plane-wave DFT calculation with GGA-PBE was carried out for a relaxed structure of Nd3ZnGe6Pt2.

Unit cell a=5.9721 b=5.9721 c=8.3429 alpha=90.00 beta=90.00 gamma=120.00
Closest atoms and distances in Å follow each position.
Sites, in units of the cell vectors:
Nd 0.6667 0.3333 0.3690  9 Ge 3.09-3.29, 1 Pt 3.27
Pt 0.6667 0.3333 0.9770  3 Ge 2.62
Pt 0.3333 0.6667 0.0230  3 Ge 2.62
Ge 0.3765 0.1883 0.7203  2 Ge 2.60, 1 Pt 2.62, 1 Zn 2.68
Zn 0.0000 0.0000 0.5000  6 Ge 2.68
Ge 0.8117 0.6235 0.7203  2 Ge 2.60, 1 Pt 2.62, 1 Zn 2.68
Ge 0.8117 0.1883 0.7203  2 Ge 2.60, 1 Pt 2.62, 1 Zn 2.68
Ge 0.6235 0.8117 0.2797  2 Ge 2.60, 1 Pt 2.62, 1 Zn 2.68
Nd 0.0000 0.0000 0.0000  6 Ge 3.04
Nd 0.3333 0.6667 0.6310  9 Ge 3.09-3.29, 1 Pt 3.27
Ge 0.1883 0.3765 0.2797  2 Ge 2.60, 1 Pt 2.62, 1 Zn 2.68
Ge 0.1883 0.8117 0.2797  2 Ge 2.60, 1 Pt 2.62, 1 Zn 2.68

Output
Calculated density   8.5 g/cm3
N(E_F)   5.22 states/eV per cell
Formation enthalpy at 0 K   -397.6 meV per atom
Raw total energy   -0.184 Ha/atom

---

A plane-wave DFT calculation with GGA-PBE was carried out for a relaxed structure of Nd2ZnGe3Pt4.

Unit cell a=4.3548 b=4.3548 c=10.1881 alpha=90.00 beta=90.00 gamma=90.00
Closest atoms and distances in Å follow each position.
Sites, in units of the cell vectors:
Ge 0.0000 0.0000 0.5000  4 Pt 2.55
Pt 0.5000 0.0000 0.6300  3 Ge 2.44-2.55, 2 Zn 2.55
Pt 0.0000 0.5000 0.3700  3 Ge 2.44-2.55, 2 Zn 2.55
Nd 0.0000 0.5000 0.7467  8 Pt 3.30-3.38, 6 Ge 3.33, 2 Zn 3.33
Zn 0.5000 0.5000 0.5000  4 Pt 2.55
Nd 0.5000 0.0000 0.2533  8 Pt 3.30-3.38, 6 Ge 3.33, 2 Zn 3.33
Ge 0.0000 0.5000 0.1301  5 Pt 2.44-2.55
Pt 0.5000 0.5000 0.0000  4 Ge 2.55
Pt 0.0000 0.0000 0.0000  4 Ge 2.55
Ge 0.5000 0.0000 0.8699  5 Pt 2.44-2.55

Output
Calculated density   11.6 g/cm3
N(E_F)   4.95 states/eV per cell
Formation enthalpy at 0 K   -916.4 meV per atom
Raw total energy   -0.213 Ha/atom

---

A plane-wave DFT calculation with GGA-PBE was carried out for a relaxed structure of Nd2ZnGe4Pt3.

Unit cell a=4.3360 b=4.3360 c=10.3233 alpha=90.00 beta=90.00 gamma=90.00
Closest atoms and distances in Å follow each position.
Sites, in units of the cell vectors:
Nd 0.5000 0.0000 0.2506  8 Ge 3.28-3.38, 6 Pt 3.33-3.37, 2 Zn 3.37
Ge 0.5000 0.5000 0.0000  4 Pt 2.52
Ge 0.0000 0.0000 0.0000  4 Pt 2.52
Pt 0.0000 0.5000 0.1241  5 Ge 2.47-2.52
Pt 0.0000 0.0000 0.5000  4 Ge 2.58
Ge 0.0000 0.5000 0.3637  3 Pt 2.47-2.58, 2 Zn 2.58
Zn 0.5000 0.5000 0.5000  4 Ge 2.58
Nd 0.0000 0.5000 0.7494  8 Ge 3.28-3.38, 6 Pt 3.33-3.37, 2 Zn 3.37
Ge 0.5000 0.0000 0.6363  3 Pt 2.47-2.58, 2 Zn 2.58
Pt 0.5000 0.0000 0.8759  5 Ge 2.47-2.52

Output
Calculated density   10.5 g/cm3
N(E_F)   4.30 states/eV per cell
Formation enthalpy at 0 K   -844.7 meV per atom
Raw total energy   -0.205 Ha/atom

---

A plane-wave DFT calculation with GGA-PBE was carried out for a relaxed structure of Nd2Zn3GePt4.

Unit cell a=4.3143 b=4.3143 c=10.3390 alpha=90.00 beta=90.00 gamma=90.00
Closest atoms and distances in Å follow each position.
Sites, in units of the cell vectors:
Pt 0.5000 0.0000 0.6277  3 Zn 2.47-2.53, 2 Ge 2.53
Nd 0.5000 0.0000 0.2481  6 Zn 3.27-3.38, 8 Pt 3.31-3.35, 2 Ge 3.38
Zn 0.5000 0.0000 0.8669  5 Pt 2.47-2.56
Zn 0.0000 0.0000 0.5000  4 Pt 2.53
Zn 0.0000 0.5000 0.1331  5 Pt 2.47-2.56
Pt 0.0000 0.5000 0.3723  3 Zn 2.47-2.53, 2 Ge 2.53
Ge 0.5000 0.5000 0.5000  4 Pt 2.53
Pt 0.0000 0.0000 0.0000  4 Zn 2.56
Nd 0.0000 0.5000 0.7519  6 Zn 3.27-3.38, 8 Pt 3.31-3.35, 2 Ge 3.38
Pt 0.5000 0.5000 0.0000  4 Zn 2.56

Output
Calculated density   11.5 g/cm3
N(E_F)   5.15 states/eV per cell
Formation enthalpy at 0 K   -795.0 meV per atom
Raw total energy   -0.184 Ha/atom

---

A plane-wave DFT calculation with GGA-PBE was carried out for a relaxed structure of Nd2ZrGe4Pt3.

Unit cell a=4.3037 b=4.3037 c=10.9568 alpha=90.00 beta=90.00 gamma=90.00
Closest atoms and distances in Å follow each position.
Sites, in units of the cell vectors:
Nd 0.5000 0.0000 0.2350  6 Pt 3.29-3.61, 8 Ge 3.29-3.36, 2 Zr 3.61
Pt 0.5000 0.0000 0.8790  5 Ge 2.50-2.53
Pt 0.0000 0.5000 0.1210  5 Ge 2.50-2.53
Ge 0.5000 0.0000 0.6505  3 Pt 2.50-2.71, 2 Zr 2.71
Pt 0.0000 0.0000 0.5000  4 Ge 2.71
Nd 0.0000 0.5000 0.7650  6 Pt 3.29-3.61, 8 Ge 3.29-3.36, 2 Zr 3.61
Ge 0.0000 0.5000 0.3495  3 Pt 2.50-2.71, 2 Zr 2.71
Ge 0.5000 0.5000 0.0000  4 Pt 2.53
Ge 0.0000 0.0000 0.0000  4 Pt 2.53
Zr 0.5000 0.5000 0.5000  4 Ge 2.71

Output
Calculated density   10.3 g/cm3
N(E_F)   4.87 states/eV per cell
Formation enthalpy at 0 K   -912.5 meV per atom
Raw total energy   -0.234 Ha/atom